{"formula": "Sc4AlBr", "functional": "meta-GGA SCAN", "state": "single point on PBEsol structure", "lattice_angstrom": [[-2.782, -5.071, 0.012], [0.035, -3.307, 4.745], [-4.831, -0.640, 3.115]], "species": ["Sc", "Sc", "Br", "Sc", "Al", "Sc"], "fractional_positions": [[0.868, 0.377, 0.377], [0.377, 0.377, 0.377], [0.000, 0.000, 0.000], [0.377, 0.868, 0.377], [0.750, 0.750, 0.750], [0.377, 0.377, 0.868]], "e_form_raw_ev_per_atom": 0.286, "magnetic_moment_mub_per_fu": 0.00, "density_g_cm3": 3.5, "dos_at_fermi_per_ev_atom": 1.0744}



{"formula": "Hf2NiIr", "functional": "meta-GGA SCAN", "state": "single point on PBEsol structure", "lattice_angstrom": [[4.520, 0.000, 0.000], [2.260, 3.914, 0.000], [2.260, 1.305, 3.691]], "species": ["Ir", "Hf", "Ni", "Hf"], "fractional_positions": [[0.500, 0.500, 0.500], [0.750, 0.750, 0.750], [0.000, 0.000, 0.000], [0.250, 0.250, 0.250]], "magnetic_moment_mub_per_fu": 0.00, "density_g_cm3": 15.5, "e_form_ev_per_atom": -0.834, "dos_at_fermi_per_ev_atom": 0.7397}



{"formula": "ZnCdHg", "functional": "meta-GGA SCAN", "state": "single point on PBEsol structure", "lattice_angstrom": [[-1.085, -3.551, -0.426], [3.598, -1.051, -0.408], [-0.962, 1.720, 4.514]], "species": ["Hg", "Cd", "Zn"], "fractional_positions": [[0.665, 0.665, 0.330], [0.001, 0.001, 0.002], [0.334, 0.334, 0.667]], "magnetic_moment_mub_per_fu": 0.00, "density_g_cm3": 10.7, "e_form_ev_per_atom": 0.064, "dos_at_fermi_per_ev_atom": 0.2253}



{"formula": "CsLu2Cl7", "functional": "meta-GGA SCAN", "state": "single point on PBEsol structure", "lattice_angstrom": [[-3.559, -5.713, 0.641], [1.766, 0.259, 12.115], [-11.428, 7.289, 1.510]], "species": ["Lu", "Cl", "Cs", "Cl", "Lu", "Cl", "Cl", "Cl", "Cl", "Cl", "Cs", "Cl", "Cl", "Cl", "Cs", "Lu", "Cl", "Cl", "Cl", "Cl", "Cs", "Lu", "Cl", "Cl", "Cl", "Cl", "Lu", "Lu", "Cl", "Cl", "Cl", "Cl", "Lu", "Cl", "Cl", "Lu", "Cl", "Cl", "Cl", "Cl"], "fractional_positions": [[0.250, 0.052, 0.744], [0.492, 0.296, 0.183], [0.250, 0.706, 0.535], [0.250, 0.202, 0.888], [0.750, 0.855, 0.751], [0.990, 0.531, 0.366], [0.492, 0.204, 0.683], [0.490, 0.031, 0.134], [0.508, 0.796, 0.317], [0.250, 0.298, 0.388], [0.250, 0.794, 0.035], [0.010, 0.938, 0.631], [0.510, 0.062, 0.369], [0.750, 0.702, 0.612], [0.750, 0.294, 0.465], [0.750, 0.948, 0.256], [0.990, 0.062, 0.369], [0.008, 0.296, 0.183], [0.490, 0.938, 0.631], [0.510, 0.969, 0.866], [0.750, 0.206, 0.965], [0.250, 0.145, 0.249], [0.992, 0.704, 0.817], [0.010, 0.031, 0.134], [0.010, 0.562, 0.131], [0.490, 0.562, 0.131], [0.750, 0.645, 0.251], [0.250, 0.355, 0.749], [0.008, 0.204, 0.683], [0.508, 0.704, 0.817], [0.990, 0.438, 0.869], [0.510, 0.531, 0.366], [0.750, 0.552, 0.756], [0.010, 0.469, 0.634], [0.510, 0.438, 0.869], [0.250, 0.448, 0.244], [0.992, 0.796, 0.317], [0.490, 0.469, 0.634], [0.990, 0.969, 0.866], [0.750, 0.798, 0.112]], "e_form_raw_ev_per_atom": -2.494, "magnetic_moment_mub_per_fu": 0.00, "density_g_cm3": 4.3, "dos_at_fermi_per_ev_atom": 0.0000}



Please write out number 2 again, unchanged.
{"formula": "Hf2NiIr", "functional": "meta-GGA SCAN", "state": "single point on PBEsol structure", "lattice_angstrom": [[4.520, 0.000, 0.000], [2.260, 3.914, 0.000], [2.260, 1.305, 3.691]], "species": ["Ir", "Hf", "Ni", "Hf"], "fractional_positions": [[0.500, 0.500, 0.500], [0.750, 0.750, 0.750], [0.000, 0.000, 0.000], [0.250, 0.250, 0.250]], "magnetic_moment_mub_per_fu": 0.00, "density_g_cm3": 15.5, "e_form_ev_per_atom": -0.834, "dos_at_fermi_per_ev_atom": 0.7397}



Copy entry 1 word for word.
{"formula": "Sc4AlBr", "functional": "meta-GGA SCAN", "state": "single point on PBEsol structure", "lattice_angstrom": [[-2.782, -5.071, 0.012], [0.035, -3.307, 4.745], [-4.831, -0.640, 3.115]], "species": ["Sc", "Sc", "Br", "Sc", "Al", "Sc"], "fractional_positions": [[0.868, 0.377, 0.377], [0.377, 0.377, 0.377], [0.000, 0.000, 0.000], [0.377, 0.868, 0.377], [0.750, 0.750, 0.750], [0.377, 0.377, 0.868]], "e_form_raw_ev_per_atom": 0.286, "magnetic_moment_mub_per_fu": 0.00, "density_g_cm3": 3.5, "dos_at_fermi_per_ev_atom": 1.0744}